Record 1
Below is a relaxed structure of Sr4TmCd5, with properties calculated at the GGA-PBE level.

Lattice parameters (Å, degrees): 3.9458 3.9458 20.2045 90.00 90.00 90.00
Space group P4/mmm (No. 123)
Unique sites:
Sr1 0.0000 0.0000 0.1041 x2
Sr2 0.0000 0.0000 0.3113 x2
Tm1 0.0000 0.0000 0.5000 x1
Cd1 0.5000 0.5000 0.0000 x1
Cd2 0.5000 0.5000 0.2072 x2
Cd3 0.5000 0.5000 0.4188 x2

Summary:
**Total magnetic moment**: 0.000 μB/f.u.
**Energy of formation**: -315.8 meV/atom
**DFT total energy**: -18.93 eV per formula unit

Record 2
Below is a relaxed structure of Sr3YGe, with properties calculated at the GGA-PBE level.

Lattice parameters (Å, degrees): 6.1018 6.1018 6.1018 90.00 90.00 90.00
Space group Pm-3m (No. 221)
Unique sites:
Sr1 0.0000 0.0000 0.5000 x3
Y1 0.5000 0.5000 0.5000 x1
Ge1 0.0000 0.0000 0.0000 x1

Summary:
**Total magnetic moment**: 1.006 μB/f.u.
**Energy of formation**: 87.4 meV/atom
**DFT total energy**: -15.69 eV per formula unit

Record 3
Below is a relaxed structure of Li2Ag4Au, with properties calculated at the GGA-PBE level.

Lattice parameters (Å, degrees): 5.1169 5.1169 13.6981 90.00 90.00 90.00
Space group I4/mmm (No. 139)
Unique sites:
Li1 0.0000 0.0000 0.1080 x4
Ag1 0.0000 0.0000 0.3031 x4
Ag2 0.0000 0.5000 0.0000 x4
Au1 0.0000 0.0000 0.5000 x2

Summary:
**Total magnetic moment**: 0.000 μB/f.u.
**Energy of formation**: 351.6 meV/atom
**DFT total energy**: -16.05 eV per formula unit

Record 4
Below is a relaxed structure of Pr3Dy2PuTe6, with properties calculated at the GGA-PBE level.

Lattice parameters (Å, degrees): 19.4976 4.4148 8.9846 90.00 104.13 90.00
Space group C2/m (No. 12)
Unique sites:
Pr1 0.0000 0.0000 0.0000 x2
Pr2 0.1652 0.5000 0.3336 x4
Dy1 0.1637 0.5000 0.8283 x4
Pu1 0.0000 0.0000 0.5000 x2
Te1 0.0028 0.5000 0.7456 x4
Te2 0.1655 0.0000 0.5915 x4
Te3 0.1713 0.0000 0.0747 x4

Summary:
**E_form (uncorrected)**: -1.35 eV/atom
**Total magnetic moment**: 6.039 μB/f.u.
**DFT total energy**: -72.87 eV per formula unit

Record 5
Below is a relaxed structure of Cu3SbSe4, with properties calculated at the GGA-PBE level.

Lattice parameters (Å, degrees): 5.7290 5.7290 11.3959 90.00 90.00 90.00
Space group I-42m (No. 121)
Unique sites:
Cu1 0.0000 0.0000 0.0000 x2
Cu2 0.0000 0.5000 0.2500 x4
Sb1 0.0000 0.0000 0.5000 x2
Se1 0.2325 0.2325 0.8657 x8

Summary:
**E_form (uncorrected)**: -0.19 eV/atom
**Total magnetic moment**: 0.000 μB/f.u.
**DFT total energy**: -31.85 eV per formula unit

Record 6
Below is a relaxed structure of RbTeS2Cl, with properties calculated at the GGA-PBE level.

Lattice parameters (Å, degrees): 5.6738 5.6738 5.5806 90.00 90.00 90.00
Space group P4/mmm (No. 123)
Unique sites:
Rb1 0.0000 0.0000 0.0000 x1
Te1 0.5000 0.5000 0.5000 x1
S1 0.0000 0.5000 0.0000 x2
Cl1 0.0000 0.0000 0.5000 x1

Summary:
**E_form (uncorrected)**: 0.99 eV/atom
**Total magnetic moment**: 0.000 μB/f.u.
**DFT total energy**: -9.27 eV per formula unit

Record 7
Below is a relaxed structure of SmPa2Se5, with properties calculated at the GGA-PBE level.

Lattice parameters (Å, degrees): 12.6501 8.1670 7.7528 90.00 90.00 90.00
Space group Pnma (No. 62)
Unique sites:
Sm1 0.0036 0.2500 0.0844 x4
Pa1 0.1810 0.5011 0.5114 x8
Se1 0.0009 0.2500 0.4712 x4
Se2 0.1086 0.5446 0.1619 x8
Se3 0.1820 0.2500 0.8201 x4
Se4 0.2149 0.7500 0.7919 x4

Summary:
**E_form (uncorrected)**: -1.48 eV/atom
**Total magnetic moment**: 2.580 μB/f.u.
**DFT total energy**: -52.99 eV per formula unit

Record 8
Below is a relaxed structure of ZnBiSeBr2, with properties calculated at the GGA-PBE level.

Lattice parameters (Å, degrees): 5.0029 5.0029 5.2608 90.00 90.00 90.00
Space group P4/mmm (No. 123)
Unique sites:
Zn1 0.0000 0.0000 0.0000 x1
Bi1 0.5000 0.5000 0.5000 x1
Se1 0.0000 0.0000 0.5000 x1
Br1 0.0000 0.5000 0.0000 x2

Summary:
**E_form (uncorrected)**: -0.13 eV/atom
**Total magnetic moment**: 0.000 μB/f.u.
**DFT total energy**: -12.61 eV per formula unit